Ce8Te4Ir3S (PBE, optimized geometry); uncorrected formation energy = -1.19 eV per atom; space-group type = R-3m; ρ = 8293 kg/m3; spin magnetization = 7.8 Bohr magnetons per cell
1.0
4.193 2.421 7.364
-4.193 2.421 7.364
0.000 -4.842 7.364
Ce Te Ir S
8 4 3 1
Cartesian
-2.132 -1.231 12.594
0.000 0.000 5.206
0.000 -2.462 9.499
-2.132 1.231 9.499
2.132 -1.231 12.594
0.000 2.462 12.594
0.000 0.000 16.886
2.132 1.231 9.499
0.000 0.000 0.000
-2.097 -1.210 7.364
-2.097 1.210 14.728
0.000 2.421 7.364
-4.193 0.000 11.046
-2.097 1.210 3.682
2.097 1.210 3.682
0.000 0.000 11.046